# DyBi2Pb PBE-GGA relaxed
data_DyBi2Pb
_cell_length_a 5.603
_cell_length_b 5.603
_cell_length_c 5.603
_cell_angle_alpha 60.00
_cell_angle_beta 60.00
_cell_angle_gamma 60.00
_space_group_name_H-M_alt 'P 1'
_space_group_IT_number 1
loop_
_space_group_symop_operation_xyz
'x,y,z'
loop_
_atom_site_label
_atom_site_type_symbol
_atom_site_fract_x
_atom_site_fract_y
_atom_site_fract_z
Dy1 Dy 0.000 0.000 0.000
Bi1 Bi 0.250 0.250 0.250
Bi2 Bi 0.750 0.750 0.750
Pb1 Pb 0.500 0.500 0.500
# Offset from the most stable computed form (meV per atom): 118
# Symmetry: Fm-3m (225)
# Size of the total moment (μB per atom): 0.000
# Calculated formation energy (eV/atom): -0.23